1.
HgW3: relaxed, PBE.

Geometry as POSCAR:
```
HgW3
1.0
5.134 0.000 0.000
0.000 9.331 0.000
0.000 0.000 5.709
Hg W
4 12
direct
0.070 0.250 0.120 Hg
0.430 0.750 0.620 Hg
0.570 0.250 0.380 Hg
0.930 0.750 0.880 Hg
0.071 0.250 0.620 W
0.248 0.008 0.851 W
0.248 0.492 0.851 W
0.252 0.508 0.351 W
0.252 0.992 0.351 W
0.429 0.750 0.120 W
0.571 0.250 0.880 W
0.748 0.008 0.649 W
0.748 0.492 0.649 W
0.752 0.508 0.149 W
0.752 0.992 0.149 W
0.929 0.750 0.380 W
```

Calculated values
Space-group type: Pnma, No. 62
ΔE to the lowest computed polymorph (eV per atom): 0.2721


2.
HgW3: relaxed, PBE.

Geometry as POSCAR:
```
HgW3
1.0
2.740 0.000 0.000
0.000 4.783 0.000
0.000 0.000 5.214
Hg W
1 3
direct
0.000 0.000 0.000 Hg
0.000 0.500 0.313 W
0.500 0.000 0.505 W
0.500 0.500 0.802 W
```

Calculated values
Space-group type: Pmm2, No. 25
ΔE to the lowest computed polymorph (eV per atom): 0.2456


3.
Hg2W: relaxed, PBE.

Geometry as POSCAR:
```
Hg2W
1.0
2.467 -8.798 0.000
2.467 8.798 0.000
0.000 0.000 3.034
Hg W
4 2
direct
0.085 0.915 0.750 Hg
0.293 0.707 0.250 Hg
0.707 0.293 0.750 Hg
0.915 0.085 0.250 Hg
0.444 0.556 0.750 W
0.556 0.444 0.250 W
```

Calculated values
Space-group type: Cmcm, No. 63
ΔE to the lowest computed polymorph (eV per atom): 0.1507


4.
Y2HgW: relaxed, PBE.

Geometry as POSCAR:
```
Y2HgW
1.0
3.919 0.000 0.000
0.000 3.919 0.000
0.000 0.000 6.311
Y Hg W
2 1 1
direct
0.000 0.000 0.000 Y
0.500 0.500 0.318 Y
0.000 0.000 0.540 Hg
0.500 0.500 0.816 W
```

Calculated values
Space-group type: P4mm, No. 99


5.
YHg2W: relaxed, PBE.

Geometry as POSCAR:
```
YHg2W
1.0
3.240 0.000 0.000
0.000 4.220 0.000
0.000 0.000 6.353
Y Hg W
1 2 1
direct
0.000 0.000 0.000 Y
0.000 0.000 0.527 Hg
0.500 0.500 0.270 Hg
0.500 0.500 0.742 W
```

Calculated values
Space-group type: Pmm2, No. 25
ΔE to the lowest computed polymorph (eV per atom): 0.0784


6.
YHg2W: relaxed, PBE.

Geometry as POSCAR:
```
YHg2W
1.0
3.095 -4.316 0.000
3.095 4.316 0.000
-0.011 0.000 3.117
Y Hg W
1 2 1
direct
0.000 0.000 0.000 Y
0.000 0.500 0.500 Hg
0.500 0.000 0.500 Hg
0.500 0.500 0.000 W
```

Calculated values
Space-group type: C2/m, No. 12
ΔE to the lowest computed polymorph (eV per atom): 0.0340


7.
YHg2W: relaxed, PBE.

Geometry as POSCAR:
```
YHg2W
1.0
3.126 0.000 0.000
0.000 4.863 0.000
-0.080 0.000 5.882
Y Hg W
1 2 1
direct
0.000 0.000 0.000 Y
0.489 0.500 0.741 Hg
0.496 0.000 0.477 Hg
0.511 0.500 0.233 W
```

Calculated values
Space-group type: Pm, No. 6
ΔE to the lowest computed polymorph (eV per atom): 0.0878


8.
YHg3W: relaxed, PBE.

Geometry as POSCAR:
```
YHg3W
1.0
5.713 0.000 0.000
0.000 5.713 0.000
0.000 0.000 5.713
Y Hg W
1 3 1
direct
0.000 0.000 0.000 Y
0.000 0.000 0.500 Hg
0.000 0.500 0.000 Hg
0.500 0.000 0.000 Hg
0.500 0.500 0.500 W
```

Calculated values
Space-group type: Pm-3m, No. 221
ΔE to the lowest computed polymorph (eV per atom): 0.8809


The calculation returns the following density values, one per record and in order: 18.27, 18.27, 14.75, 9.63, 12.89, 13.44, 12.52, 7.79 g/cm³.
The calculation returns the following energy relative to the elements values, one per record and in order: 0.7035, 0.6770, 0.5364, 0.4234, 0.4341, 0.3897, 0.4435, 1.6195 eV/atom.